(1)
Cs5PdI8 PBE-GGA relaxed; ΔE_f (raw) = -1069 meV per atom
1.0
10.090 -0.262 0.450
-3.661 9.407 -0.450
-2.769 -4.886 8.399
I Cs Pd
8 5 1
Direct
0.200 0.697 0.968
0.704 0.186 0.285
0.032 0.232 0.729
0.715 0.419 0.901
0.271 0.303 0.502
0.482 0.581 0.296
0.498 0.768 0.800
0.099 0.814 0.518
0.037 0.418 0.185
0.382 0.148 0.963
0.766 0.582 0.618
0.815 0.852 0.234
0.500 0.000 0.500
0.250 0.500 0.750

(2)
CsPd2I7 PBE-GGA relaxed; ΔE_f (raw) = -369 meV per atom
1.0
-1.480 4.361 -3.493
-8.639 -4.325 -1.740
2.830 6.442 6.845
Pd Cs I
2 1 7
Direct
0.500 0.254 0.746
0.500 0.746 0.254
0.000 0.000 0.000
0.000 0.243 0.757
0.000 0.757 0.243
0.500 0.911 0.619
0.500 0.089 0.381
0.500 0.619 0.911
0.500 0.381 0.089
0.500 0.500 0.500